# 1
VASP calculation (PBE) on CePa6Bi10 after structural relaxation.

Space-group type = P-31m
D(E_F) = 21.81 states/eV per cell
Mass density = 11.8 g/cm3
Total magnetic moment = 7.1 μB per cell
ΔH_f (0 K) = -4.212 eV/f.u.

a b c (Å): 6.379 9.609 9.609
angles (deg): 120.00 90.00 90.00
Fractional positions:
Bi: 0.234 0.729 0.000
Bi: 0.766 0.000 0.271
Bi: 0.234 0.000 0.729
Pa: 0.253 0.000 0.391
Bi: 0.234 0.271 0.271
Pa: 0.747 0.391 0.391
Bi: 0.766 0.271 0.000
Ce: 0.500 0.000 0.000
Pa: 0.253 0.391 0.000
Pa: 0.747 0.000 0.609
Bi: 0.000 0.667 0.333
Pa: 0.747 0.609 0.000
Pa: 0.253 0.609 0.609
Bi: 0.000 0.333 0.667
Bi: 0.500 0.333 0.667
Bi: 0.766 0.729 0.729
Bi: 0.500 0.667 0.333


# 2
VASP calculation (PBE) on CePaBiPb after structural relaxation.

Space-group type = F-43m
D(E_F) = 11.48 states/eV per cell
Mass density = 11.2 g/cm3
Total magnetic moment = 2.6 μB per cell
ΔH_f (0 K) = -0.650 eV/f.u.

a b c (Å): 5.480 5.480 5.480
angles (deg): 60.00 60.00 60.00
Fractional positions:
Ce: 0.750 0.750 0.750
Pb: 0.000 0.000 0.000
Bi: 0.500 0.500 0.500
Pa: 0.250 0.250 0.250


# 3
VASP calculation (PBE) on CePm2PaBi4 after structural relaxation.

Space-group type = P2/m
D(E_F) = 14.46 states/eV per cell
Mass density = 9.3 g/cm3
Total magnetic moment = 2.1 μB per cell
ΔH_f (0 K) = -5.449 eV/f.u.

a b c (Å): 4.543 7.893 7.917
angles (deg): 109.25 90.00 90.00
Fractional positions:
Bi: 0.000 0.745 0.246
Pm: 0.500 0.000 0.500
Pa: 0.500 0.500 0.000
Bi: 0.500 0.747 0.753
Bi: 0.000 0.255 0.754
Pm: 0.000 0.500 0.500
Bi: 0.500 0.253 0.247
Ce: 0.000 0.000 0.000


# 4
VASP calculation (PBE) on CePmPaBi after structural relaxation.

Space-group type = F-43m
D(E_F) = 9.48 states/eV per cell
Mass density = 10.3 g/cm3
Total magnetic moment = 3.4 μB per cell
ΔH_f (0 K) = 0.180 eV/f.u.

a b c (Å): 5.481 5.481 5.481
angles (deg): 60.00 60.00 60.00
Fractional positions:
Bi: 0.250 0.250 0.250
Pm: 0.500 0.500 0.500
Pa: 0.750 0.750 0.750
Ce: 0.000 0.000 0.000


# 5
VASP calculation (PBE) on CePr2PaBi4 after structural relaxation.

Space-group type = P2/m
D(E_F) = 14.60 states/eV per cell
Mass density = 9.0 g/cm3
Total magnetic moment = 2.0 μB per cell
ΔH_f (0 K) = -5.531 eV/f.u.

a b c (Å): 4.572 7.942 7.977
angles (deg): 109.23 90.00 90.00
Fractional positions:
Bi: 0.000 0.744 0.242
Pa: 0.500 0.500 0.000
Pr: 0.500 0.000 0.500
Bi: 0.500 0.252 0.243
Bi: 0.500 0.748 0.757
Pr: 0.000 0.500 0.500
Ce: 0.000 0.000 0.000
Bi: 0.000 0.256 0.758


# 6
VASP calculation (PBE) on CePaBiSb after structural relaxation.

ΔE_f (raw) = -47 kJ per mole of atoms
Space-group type = F-43m
D(E_F) = 9.25 states/eV per cell
Mass density = 10.3 g/cm3
Total magnetic moment = 2.8 μB per cell

a b c (Å): 5.430 5.430 5.430
angles (deg): 60.00 60.00 60.00
Fractional positions:
Ce: 0.750 0.750 0.750
Sb: 0.000 0.000 0.000
Pa: 0.250 0.250 0.250
Bi: 0.500 0.500 0.500


# 7
VASP calculation (PBE) on Sr3Ce2PaBi6 after structural relaxation.

Space-group type = C2/m
D(E_F) = 7.70 states/eV per cell
Mass density = 7.6 g/cm3
Total magnetic moment = 1.2 μB per cell
ΔH_f (0 K) = -8.834 eV/f.u.

a b c (Å): 8.129 8.129 8.167
angles (deg): 99.56 99.56 119.99
Fractional positions:
Bi: 0.074 0.398 0.224
Pa: 0.000 0.000 0.000
Sr: 0.830 0.170 0.500
Ce: 0.334 0.666 0.000
Bi: 0.602 0.926 0.776
Bi: 0.248 0.248 0.775
Bi: 0.926 0.602 0.776
Ce: 0.666 0.334 0.000
Sr: 0.500 0.500 0.500
Sr: 0.170 0.830 0.500
Bi: 0.398 0.074 0.224
Bi: 0.752 0.752 0.225


# 8
VASP calculation (PBE) on Ce2Bi4Pb after structural relaxation.

Relative energy among the computed polymorphs = 0 meV per atom
Space-group type = C2/m
D(E_F) = 10.77 states/eV per cell
Mass density = 9.6 g/cm3
Total magnetic moment = 1.3 μB per cell
ΔH_f (0 K) = -3.074 eV/f.u.

a b c (Å): 7.065 7.065 6.764
angles (deg): 121.30 121.30 90.11
Fractional positions:
Bi: 0.286 0.286 0.071
Bi: 0.286 0.786 0.071
Pb: 0.786 0.786 0.571
Bi: 0.786 0.786 0.072
Ce: 0.286 0.786 0.571
Bi: 0.786 0.286 0.071
Ce: 0.786 0.286 0.571


# 9
VASP calculation (PBE) on Ce4BiPb after structural relaxation.

Relative energy among the computed polymorphs = 79 meV per atom
Space-group type = C2/m
D(E_F) = 14.71 states/eV per cell
Mass density = 9.9 g/cm3
Total magnetic moment = 1.6 μB per cell
ΔH_f (0 K) = -1.297 eV/f.u.

a b c (Å): 5.215 6.363 6.363
angles (deg): 97.12 65.45 65.45
Fractional positions:
Ce: 0.724 0.571 0.927
Pb: 0.500 0.500 0.500
Ce: 0.276 0.429 0.073
Ce: 0.724 0.927 0.571
Ce: 0.276 0.073 0.429
Bi: 0.000 0.000 0.000


# 10
VASP calculation (PBE) on Ce6BiPb5 after structural relaxation.

Space-group type = C2/m
D(E_F) = 21.44 states/eV per cell
Mass density = 8.6 g/cm3
Total magnetic moment = 2.0 μB per cell
ΔH_f (0 K) = -4.494 eV/f.u.

a b c (Å): 7.893 7.895 7.897
angles (deg): 60.01 80.40 70.51
Fractional positions:
Pb: 0.500 0.165 0.670
Pb: 0.000 0.667 0.666
Ce: 0.748 0.084 0.334
Ce: 0.250 0.251 0.000
Ce: 0.252 0.916 0.666
Ce: 0.750 0.749 0.000
Ce: 0.252 0.582 0.334
Pb: 0.500 0.835 0.330
Ce: 0.748 0.418 0.666
Bi: 0.000 0.000 0.000
Pb: 0.000 0.333 0.334
Pb: 0.500 0.500 0.000


# 11
VASP calculation (PBE) on Ce6Bi5Pb after structural relaxation.

Space-group type = C2/m
D(E_F) = 33.93 states/eV per cell
Mass density = 8.4 g/cm3
Total magnetic moment = 4.7 μB per cell
ΔH_f (0 K) = -8.546 eV/f.u.

a b c (Å): 7.957 7.957 7.958
angles (deg): 60.00 80.40 70.52
Fractional positions:
Ce: 0.249 0.248 0.000
Ce: 0.752 0.083 0.332
Bi: 0.500 0.500 0.000
Bi: 0.500 0.832 0.336
Ce: 0.752 0.414 0.668
Ce: 0.751 0.752 0.000
Bi: 0.000 0.666 0.667
Bi: 0.500 0.168 0.664
Pb: 0.000 0.000 0.000
Bi: 0.000 0.334 0.333
Ce: 0.248 0.586 0.332
Ce: 0.248 0.917 0.668


# 12
VASP calculation (PBE) on CeBi2Pb after structural relaxation.

Relative energy among the computed polymorphs = 160 meV per atom
Space-group type = R3m
D(E_F) = 3.39 states/eV per cell
Mass density = 8.8 g/cm3
Total magnetic moment = 0.2 μB per cell
ΔH_f (0 K) = -1.098 eV/f.u.

a b c (Å): 4.720 4.720 7.942
angles (deg): 72.71 72.71 60.00
Fractional positions:
Bi: 0.259 0.259 0.224
Pb: 0.496 0.496 0.512
Ce: 0.667 0.667 0.998
Bi: 0.078 0.078 0.766